# 1
! Li2TbInSe4 (PBE, optimized geometry); values from VASP
! Uncorrected formation energy   -1224.9 meV/atom
! SG   P2/m, No. 10
&SYSTEM
  ibrav = 0, nat = 8, ntyp = 4
/
ATOMIC_SPECIES
Li 6.94 Li.upf
Tb 158.93 Tb.upf
In 114.82 In.upf
Se 78.96 Se.upf
ATOMIC_POSITIONS crystal
Li 0.0000 0.0000 0.0000
Li 0.0000 0.5000 0.5000
Tb 0.5000 0.0000 0.5000
In 0.5000 0.5000 0.0000
Se 0.2423 0.5000 0.2486
Se 0.2526 0.0000 0.7639
Se 0.7474 0.0000 0.2361
Se 0.7577 0.5000 0.7514
CELL_PARAMETERS angstrom
6.9278 0.0000 0.0000
0.0000 4.0246 0.0000
-2.3176 0.0000 6.5494



# 2
! Li3Tb3InSe8 (PBE, optimized geometry); values from VASP
! Uncorrected formation energy   -1373.8 meV/atom
! SG   R-3m, No. 166
&SYSTEM
  ibrav = 0, nat = 15, ntyp = 4
/
ATOMIC_SPECIES
Li 6.94 Li.upf
Tb 158.93 Tb.upf
In 114.82 In.upf
Se 78.96 Se.upf
ATOMIC_POSITIONS crystal
Li 0.0000 0.5000 0.5000
Li 0.5000 0.0000 0.5000
Li 0.5000 0.5000 0.0000
Tb 0.0000 0.0000 0.5000
Tb 0.0000 0.5000 0.0000
Tb 0.5000 0.0000 0.0000
In 0.5000 0.5000 0.5000
Se 0.2519 0.2519 0.2519
Se 0.2531 0.2531 0.7400
Se 0.2531 0.7400 0.2531
Se 0.2600 0.7469 0.7469
Se 0.7400 0.2531 0.2531
Se 0.7469 0.2600 0.7469
Se 0.7469 0.7469 0.2600
Se 0.7481 0.7481 0.7481
CELL_PARAMETERS angstrom
4.0698 2.3497 6.4177
-4.0698 2.3497 6.4177
0.0000 -4.6994 6.4177



# 3
! Li4Tb3InSe8 (PBE, optimized geometry); values from VASP
! Uncorrected formation energy   -1454.6 meV/atom
! SG   R-3m, No. 166
&SYSTEM
  ibrav = 0, nat = 16, ntyp = 4
/
ATOMIC_SPECIES
Li 6.94 Li.upf
Tb 158.93 Tb.upf
In 114.82 In.upf
Se 78.96 Se.upf
ATOMIC_POSITIONS crystal
Li 0.0000 0.0000 0.0000
Li 0.0000 0.5000 0.5000
Li 0.5000 0.0000 0.5000
Li 0.5000 0.5000 0.0000
Tb 0.0000 0.0000 0.5000
Tb 0.0000 0.5000 0.0000
Tb 0.5000 0.0000 0.0000
In 0.5000 0.5000 0.5000
Se 0.2512 0.2512 0.2512
Se 0.2521 0.2521 0.7418
Se 0.2521 0.7418 0.2521
Se 0.2582 0.7479 0.7479
Se 0.7418 0.2521 0.2521
Se 0.7479 0.2582 0.7479
Se 0.7479 0.7479 0.2582
Se 0.7488 0.7488 0.7488
CELL_PARAMETERS angstrom
4.0526 2.3398 6.5195
-4.0526 2.3398 6.5195
0.0000 -4.6796 6.5195



# 4
! LiInTeSe (PBE, optimized geometry); values from VASP
! Uncorrected formation energy   -714.7 meV/atom
! SG   R3m, No. 160
&SYSTEM
  ibrav = 0, nat = 4, ntyp = 4
/
ATOMIC_SPECIES
Li 6.94 Li.upf
In 114.82 In.upf
Te 127.60 Te.upf
Se 78.96 Se.upf
ATOMIC_POSITIONS crystal
Li 0.0000 0.0000 0.0000
In 0.4650 0.4650 0.4650
Te 0.8609 0.8609 0.8609
Se 0.3498 0.3498 0.3498
CELL_PARAMETERS angstrom
2.2026 1.2717 7.2797
-2.2026 1.2717 7.2797
0.0000 -2.5434 7.2797



# 5
! LiTl2In2Se4 (PBE, optimized geometry); values from VASP
! Uncorrected formation energy   -520.5 meV/atom
! SG   C2/m, No. 12
&SYSTEM
  ibrav = 0, nat = 9, ntyp = 4
/
ATOMIC_SPECIES
Li 6.94 Li.upf
Tl 204.38 Tl.upf
In 114.82 In.upf
Se 78.96 Se.upf
ATOMIC_POSITIONS crystal
Li 0.0000 0.0000 0.0000
Tl 0.1302 0.1302 0.5120
Tl 0.8698 0.8698 0.4880
In 0.3492 0.3492 0.9671
In 0.6508 0.6508 0.0329
Se 0.2095 0.2095 0.1620
Se 0.4711 0.4711 0.7393
Se 0.5289 0.5289 0.2607
Se 0.7905 0.7905 0.8380
CELL_PARAMETERS angstrom
6.9620 -2.5589 0.0000
6.9620 2.5589 0.0000
-2.8681 0.0000 7.1339



# 6
! LiTm2InSe4 (PBE, optimized geometry); values from VASP
! Uncorrected formation energy   -1446.4 meV/atom
! SG   Cmcm, No. 63
&SYSTEM
  ibrav = 0, nat = 16, ntyp = 4
/
ATOMIC_SPECIES
Li 6.94 Li.upf
Tm 168.93 Tm.upf
In 114.82 In.upf
Se 78.96 Se.upf
ATOMIC_POSITIONS crystal
Li 0.1714 0.8286 0.7500
Li 0.8286 0.1714 0.2500
Tm 0.3656 0.6344 0.0619
Tm 0.3656 0.6344 0.4381
Tm 0.6344 0.3656 0.5619
Tm 0.6344 0.3656 0.9381
In 0.1033 0.8967 0.2500
In 0.8967 0.1033 0.7500
Se 0.0000 0.0000 0.0000
Se 0.0000 0.0000 0.5000
Se 0.2658 0.7342 0.6068
Se 0.2658 0.7342 0.8932
Se 0.4305 0.5695 0.2500
Se 0.5695 0.4305 0.7500
Se 0.7342 0.2658 0.1068
Se 0.7342 0.2658 0.3932
CELL_PARAMETERS angstrom
2.0567 -6.8905 0.0000
2.0567 6.8905 0.0000
0.0000 0.0000 14.5436



# 7
! Li4Tm3InSe8 (PBE, optimized geometry); values from VASP
! Uncorrected formation energy   -1456.0 meV/atom
! SG   R-3m, No. 166
&SYSTEM
  ibrav = 0, nat = 16, ntyp = 4
/
ATOMIC_SPECIES
Li 6.94 Li.upf
Tm 168.93 Tm.upf
In 114.82 In.upf
Se 78.96 Se.upf
ATOMIC_POSITIONS crystal
Li 0.0000 0.0000 0.0000
Li 0.0000 0.5000 0.5000
Li 0.5000 0.0000 0.5000
Li 0.5000 0.5000 0.0000
Tm 0.0000 0.0000 0.5000
Tm 0.0000 0.5000 0.0000
Tm 0.5000 0.0000 0.0000
In 0.5000 0.5000 0.5000
Se 0.2499 0.2499 0.2499
Se 0.2513 0.2513 0.7463
Se 0.2513 0.7463 0.2513
Se 0.2537 0.7487 0.7487
Se 0.7463 0.2513 0.2513
Se 0.7487 0.2537 0.7487
Se 0.7487 0.7487 0.2537
Se 0.7501 0.7501 0.7501
CELL_PARAMETERS angstrom
4.0016 2.3103 6.5073
-4.0016 2.3103 6.5073
0.0000 -4.6206 6.5073



# 8
! Li2TmInSe4 (PBE, optimized geometry); values from VASP
! Uncorrected formation energy   -1227.5 meV/atom
! SG   P2/m, No. 10
&SYSTEM
  ibrav = 0, nat = 8, ntyp = 4
/
ATOMIC_SPECIES
Li 6.94 Li.upf
Tm 168.93 Tm.upf
In 114.82 In.upf
Se 78.96 Se.upf
ATOMIC_POSITIONS crystal
Li 0.0000 0.0000 0.0000
Li 0.5000 0.5000 0.0000
Tm 0.0000 0.5000 0.5000
In 0.5000 0.0000 0.5000
Se 0.2481 0.0000 0.7538
Se 0.2594 0.5000 0.2536
Se 0.7406 0.5000 0.7464
Se 0.7519 0.0000 0.2462
CELL_PARAMETERS angstrom
6.8993 0.0000 0.0000
0.0000 3.9883 0.0000
-2.3041 0.0000 6.5181



Calculated E_tot, -4.3667; -4.7236; -4.7147; -3.5343; -3.4162; -4.8881; -4.6863; -4.3495 eV per atom (same order as the records).